A plane-wave DFT calculation with PBE was carried out for a relaxed structure of ZrTc3Rh.

a b c (Å): 4.643 4.643 4.643
angles (deg): 90.00 90.00 90.00
Sites, in units of the cell vectors:
Zr  0.000  0.000  0.000
Tc  0.000  0.500  0.500
Tc  0.500  0.000  0.500
Tc  0.500  0.500  0.000
Rh  0.500  0.500  0.500

* energy: -8.056 eV/atom
* energy relative to the lowest polymorph listed for this composition: 0 meV per atom
* DFT formation energy: 1343 meV/atom
* symmetry: Pm-3m, No. 221